Crystalline Ac3La2Pm at its relaxed geometry. Source: the Alexandria database, functional PBE-GGA.

Cell: 7.254 9.568 7.254 Å, 82.20 83.43 97.80°
Atoms (fractional coordinates):
Ac 0.568 0.250 0.568
Ac 0.432 0.750 0.432
Ac 0.137 0.983 0.697
Ac 0.697 0.517 0.137
Ac 0.303 0.483 0.863
Ac 0.863 0.017 0.303
La 0.879 0.619 0.615
La 0.385 0.119 0.121
La 0.615 0.881 0.879
La 0.121 0.381 0.385
Pm 0.111 0.750 0.111
Pm 0.889 0.250 0.889

Computed properties:
Calculated volume = 40.80 Å³/atom
Total energy = -4.40 eV/atom
Distance to the lowest polymorph of the same formula = 37.2 meV per atom

---

Crystalline BaLaMgCd at its relaxed geometry. Source: the Alexandria database, functional PBE-GGA.

Cell: 5.817 5.817 5.817 Å, 60.00 60.00 60.00°
Atoms (fractional coordinates):
Mg 0.250 0.250 0.250
Cd 0.750 0.750 0.750
Ba 0.000 0.000 0.000
La 0.500 0.500 0.500

Computed properties:
Calculated volume = 34.79 Å³/atom
Total energy = -2.47 eV/atom

---

Crystalline PaTaAlGa2 at its relaxed geometry. Source: the Alexandria database, functional PBE-GGA.

Cell: 3.998 3.998 6.629 Å, 107.55 107.55 90.00°
Atoms (fractional coordinates):
Pa 0.000 0.000 0.000
Ta 0.250 0.750 0.500
Al 0.750 0.250 0.500
Ga 0.603 0.603 0.206
Ga 0.397 0.397 0.794

Computed properties:
Calculated volume = 19.17 Å³/atom
Total energy = -6.42 eV/atom

---

Respective magnetization values: 0.0000, 0.0000, 0.0003 μB/atom.
Respective formation energy values: 0.09, -0.13, -0.19 eV/atom.